Below is Y2TlCrN after structural relaxation, with properties calculated at the GGA-PBE level.

POSCAR file:
```
Y2TlCrN
1.0
5.015 0.000 0.000
0.000 5.015 0.000
0.000 0.000 3.804
Y Tl Cr N
2 1 1 1
Direct
0.000 0.500 0.000
0.500 0.000 0.000
0.000 0.000 0.500
0.500 0.500 0.500
0.500 0.500 0.000
```

The value obtained for the energy relative to the elements, uncorrected is -0.612 eV per atom. As for the magnetic moment: 0.00 μB/cell. Its space-group type is P4/mmm. The value obtained for the mass density is 7.78 Mg/m³.